Material: Pm4In3Co
Method: DFT, PBE
State: relaxed

Cell lengths 3.6019, 3.6019, 16.3533 Å; angles 90.00, 90.00, 90.00 degrees
Fractional coordinates of all 8 atoms:
Pm (0.0000, 0.0000, 0.1012)
Pm (0.0000, 0.0000, 0.3668)
Pm (0.0000, 0.0000, 0.6332)
Pm (0.0000, 0.0000, 0.8988)
In (0.5000, 0.5000, 0.2355)
In (0.5000, 0.5000, 0.5000)
In (0.5000, 0.5000, 0.7645)
Co (0.5000, 0.5000, 0.0000)

Calculated values
**E_form**: -0.359 eV per atom
**Final energy**: -0.34173 Ry per atom
**Spin magnetization**: 0.73 μB/f.u.
**N(E_F)**: 0.76 states/eV/atom